The following is a DFT calculation (GGA-PBE) of Ag3Hg5Bi12 after structural relaxation.

a = 15.253 Å, b = 15.253 Å, c = 15.253 Å
α = 109.47°, β = 109.47°, γ = 109.47°
Sites, in units of the cell vectors:
Ag  0.125  0.250  0.375
Ag  0.125  0.375  0.750
Ag  0.250  0.375  0.125
Ag  0.250  0.875  0.625
Ag  0.375  0.125  0.250
Ag  0.375  0.750  0.125
Ag  0.625  0.250  0.875
Ag  0.625  0.875  0.750
Ag  0.750  0.125  0.375
Ag  0.750  0.625  0.875
Ag  0.875  0.625  0.250
Ag  0.875  0.750  0.625
Hg  0.000  0.000  0.000
Hg  0.000  0.000  0.500
Hg  0.000  0.500  0.000
Hg  0.000  0.500  0.500
Hg  0.125  0.750  0.875
Hg  0.125  0.875  0.250
Hg  0.250  0.125  0.875
Hg  0.250  0.625  0.375
Hg  0.375  0.250  0.625
Hg  0.375  0.625  0.750
Hg  0.500  0.000  0.000
Hg  0.500  0.000  0.500
Hg  0.500  0.500  0.000
Hg  0.500  0.500  0.500
Hg  0.625  0.375  0.250
Hg  0.625  0.750  0.375
Hg  0.750  0.375  0.625
Hg  0.750  0.875  0.125
Hg  0.875  0.125  0.750
Hg  0.875  0.250  0.125
Bi  0.060  0.630  0.390
Bi  0.060  0.930  0.669
Bi  0.070  0.239  0.130
Bi  0.070  0.331  0.940
Bi  0.110  0.739  0.669
Bi  0.110  0.870  0.440
Bi  0.130  0.070  0.239
Bi  0.130  0.560  0.890
Bi  0.169  0.239  0.610
Bi  0.169  0.430  0.560
Bi  0.239  0.130  0.070
Bi  0.239  0.610  0.169
Bi  0.261  0.331  0.890
Bi  0.261  0.430  0.370
Bi  0.331  0.890  0.261
Bi  0.331  0.940  0.070
Bi  0.370  0.261  0.430
Bi  0.370  0.610  0.940
Bi  0.390  0.060  0.630
Bi  0.390  0.831  0.761
Bi  0.430  0.370  0.261
Bi  0.430  0.560  0.169
Bi  0.440  0.110  0.870
Bi  0.440  0.831  0.570
Bi  0.560  0.169  0.430
Bi  0.560  0.890  0.130
Bi  0.570  0.440  0.831
Bi  0.570  0.630  0.739
Bi  0.610  0.169  0.239
Bi  0.610  0.940  0.370
Bi  0.630  0.390  0.060
Bi  0.630  0.739  0.570
Bi  0.669  0.060  0.930
Bi  0.669  0.110  0.739
Bi  0.739  0.570  0.630
Bi  0.739  0.669  0.110
Bi  0.761  0.390  0.831
Bi  0.761  0.870  0.930
Bi  0.831  0.570  0.440
Bi  0.831  0.761  0.390
Bi  0.870  0.440  0.110
Bi  0.870  0.930  0.761
Bi  0.890  0.130  0.560
Bi  0.890  0.261  0.331
Bi  0.930  0.669  0.060
Bi  0.930  0.761  0.870
Bi  0.940  0.070  0.331
Bi  0.940  0.370  0.610

Computed properties:
ΔE_f: 3.9 eV per formula unit
Volume: 2732.0 Å³/cell